Computed, not measured: a relaxed Pm3ZnPd crystal at the PBE-GGA level of DFT.

Cell lengths 6.5555, 9.5344, 9.6504 Å; angles 119.57, 90.00, 90.00 degrees
Fractional positions:
Pm (0.0001, 0.6962, 0.8919)
Pm (0.9999, 0.3038, 0.1081)
Pm (0.5001, 0.8038, 0.1081)
Pm (0.4999, 0.1962, 0.8919)
Pm (0.4998, 0.4161, 0.6978)
Pm (0.5002, 0.5839, 0.3022)
Pm (0.9998, 0.0839, 0.3022)
Pm (0.0002, 0.9161, 0.6978)
Pm (0.9997, 0.2826, 0.6966)
Pm (0.0003, 0.7174, 0.3034)
Pm (0.4997, 0.2174, 0.3034)
Pm (0.5003, 0.7826, 0.6966)
Zn (0.8103, 0.4996, 0.4998)
Zn (0.1897, 0.5004, 0.5002)
Zn (0.3103, 0.0004, 0.5002)
Zn (0.6897, 0.9996, 0.4998)
Pd (0.2492, 0.5000, 0.0000)
Pd (0.7508, 0.5000, 0.0000)
Pd (0.7492, 0.0000, 0.0000)
Pd (0.2508, 0.0000, 0.0000)

- DOS at the Fermi energy: 4.4 states/eV/f.u.
- ΔH_f (0 K): -0.394 eV per atom
- Total magnetic moment: 0.00 μB/f.u.
- Symmetry: P2_1/c



Computed, not measured: a relaxed Y3AlBr crystal at the PBE-GGA level of DFT.

Cell lengths 5.2823, 5.2823, 5.2823 Å; angles 90.00, 90.00, 90.00 degrees
Fractional positions:
Y (0.0000, 0.5000, 0.0000)
Y (0.0000, 0.0000, 0.5000)
Y (0.5000, 0.0000, 0.0000)
Al (0.5000, 0.5000, 0.5000)
Br (0.0000, 0.0000, 0.0000)

- DOS at the Fermi energy: 6.2 states/eV/f.u.
- Total magnetic moment: 0.00 μB/f.u.
- Energy relative to the lowest polymorph listed for this composition: 0.0 meV per atom
- Symmetry: Pm-3m



Computed, not measured: a relaxed CsBe crystal at the PBE-GGA level of DFT.

Cell lengths 10.7540, 16.7217, 7.1866 Å; angles 90.00, 90.00, 90.00 degrees
Fractional positions:
Cs (0.3228, 0.0000, 0.0000)
Cs (0.6772, 0.0000, 0.0000)
Cs (0.9272, 0.7500, 0.2500)
Cs (0.5728, 0.7500, 0.2500)
Cs (0.3228, 0.5000, 0.5000)
Cs (0.6772, 0.5000, 0.5000)
Cs (0.9272, 0.2500, 0.7500)
Cs (0.5728, 0.2500, 0.7500)
Cs (0.8228, 0.0000, 0.5000)
Cs (0.1772, 0.0000, 0.5000)
Cs (0.4272, 0.7500, 0.7500)
Cs (0.0728, 0.7500, 0.7500)
Cs (0.8228, 0.5000, 0.0000)
Cs (0.1772, 0.5000, 0.0000)
Cs (0.4272, 0.2500, 0.2500)
Cs (0.0728, 0.2500, 0.2500)
Be (0.0000, 0.9361, 0.0000)
Be (0.0000, 0.0639, 0.0000)
Be (0.2500, 0.8139, 0.2500)
Be (0.2500, 0.6861, 0.2500)
Be (0.0000, 0.4361, 0.5000)
Be (0.0000, 0.5639, 0.5000)
Be (0.2500, 0.3139, 0.7500)
Be (0.2500, 0.1861, 0.7500)
Be (0.5000, 0.9361, 0.5000)
Be (0.5000, 0.0639, 0.5000)
Be (0.7500, 0.8139, 0.7500)
Be (0.7500, 0.6861, 0.7500)
Be (0.5000, 0.4361, 0.0000)
Be (0.5000, 0.5639, 0.0000)
Be (0.7500, 0.3139, 0.2500)
Be (0.7500, 0.1861, 0.2500)

- DOS at the Fermi energy: 1.7 states/eV/f.u.
- ΔH_f (0 K): 1.060 eV per atom
- Total magnetic moment: 0.00 μB/f.u.
- Energy relative to the lowest polymorph listed for this composition: 420.4 meV per atom
- Symmetry: Fddd



Computed, not measured: a relaxed Na2Pt crystal at the PBE-GGA level of DFT.

Cell lengths 8.5196, 8.5196, 4.8839 Å; angles 90.00, 90.00, 159.35 degrees
Fractional positions:
Na (0.8777, 0.1223, 0.7500)
Na (0.1223, 0.8777, 0.2500)
Na (0.4161, 0.5839, 0.2500)
Na (0.5839, 0.4161, 0.7500)
Pt (0.2392, 0.7608, 0.7500)
Pt (0.7608, 0.2392, 0.2500)

- DOS at the Fermi energy: 1.1 states/eV/f.u.
- ΔH_f (0 K): 0.021 eV per atom
- Total magnetic moment: 0.00 μB/f.u.
- Symmetry: Cmcm



Computed, not measured: a relaxed Ca2ZnRe crystal at the PBE-GGA level of DFT.

Cell lengths 3.4564, 3.4235, 8.2397 Å; angles 90.00, 90.00, 90.00 degrees
Fractional positions:
Re (0.0000, 0.0000, 0.5695)
Zn (0.5000, 0.5000, 0.6798)
Ca (0.0000, 0.0000, 0.9242)
Ca (0.5000, 0.5000, 0.3265)

- DOS at the Fermi energy: 4.2 states/eV/f.u.
- ΔH_f (0 K): 0.372 eV per atom
- Total magnetic moment: 0.00 μB/f.u.
- Symmetry: Pmm2



Computed, not measured: a relaxed Li5Ac3Rh2 crystal at the PBE-GGA level of DFT.

Cell lengths 6.7142, 9.3073, 9.3073 Å; angles 77.36, 68.86, 68.86 degrees
Fractional positions:
Li (0.2500, 0.5000, 0.5000)
Li (0.7500, 0.5000, 0.5000)
Li (0.5120, 0.7380, 0.7380)
Li (0.9880, 0.2620, 0.2620)
Li (0.4880, 0.2620, 0.2620)
Li (0.0120, 0.7380, 0.7380)
Li (0.0904, 0.5692, 0.2501)
Li (0.9096, 0.4308, 0.7499)
Li (0.5904, 0.2501, 0.5692)
Li (0.4096, 0.7499, 0.4308)
Ac (0.2500, 0.0000, 0.0000)
Ac (0.7500, 0.0000, 0.0000)
Ac (0.3419, 0.4043, 0.9119)
Ac (0.6581, 0.5957, 0.0881)
Ac (0.8419, 0.9119, 0.4043)
Ac (0.1581, 0.0881, 0.5957)
Rh (0.1507, 0.7138, 0.9849)
Rh (0.8493, 0.2862, 0.0151)
Rh (0.6507, 0.9849, 0.7138)
Rh (0.3493, 0.0151, 0.2862)

- DOS at the Fermi energy: 7.2 states/eV/f.u.
- ΔH_f (0 K): -0.169 eV per atom
- Total magnetic moment: 0.00 μB/f.u.
- Symmetry: Ibam



Computed, not measured: a relaxed ZrNpInO6 crystal at the PBE-GGA level of DFT.

Cell lengths 5.6043, 5.6043, 9.1673 Å; angles 90.00, 90.00, 120.00 degrees
Each line ends with the local moment (μB).
Fractional positions:
Zr (0.3333, 0.6667, 0.2500)  0.03
Zr (0.6667, 0.3333, 0.7500)  0.03
Np (0.6667, 0.3333, 0.2500)  2.15
Np (0.3333, 0.6667, 0.7500)  2.15
In (0.0000, 0.0000, 0.0000)  0.03
In (0.0000, 0.0000, 0.5000)  0.03
O (0.6580, 0.6593, 0.1324)  -0.04
O (0.0013, 0.3420, 0.1324)  -0.04
O (0.3420, 0.0013, 0.6324)  -0.04
O (0.9987, 0.6580, 0.8676)  -0.04
O (0.3407, 0.3420, 0.3676)  -0.04
O (0.0013, 0.6593, 0.3676)  -0.04
O (0.6593, 0.0013, 0.8676)  -0.04
O (0.6580, 0.9987, 0.3676)  -0.04
O (0.9987, 0.3407, 0.6324)  -0.04
O (0.3407, 0.9987, 0.1324)  -0.04
O (0.6593, 0.6580, 0.6324)  -0.04
O (0.3420, 0.3407, 0.8676)  -0.04

- DOS at the Fermi energy: 5.9 states/eV/f.u.
- Total magnetic moment: 2.00 μB/f.u.
- Final energy: -8.55 eV per atom
- Symmetry: P-31c



Computed, not measured: a relaxed ReWAu2 crystal at the PBE-GGA level of DFT.

Cell lengths 3.3185, 3.3185, 6.1145 Å; angles 90.00, 90.00, 90.00 degrees
Fractional positions:
Au (0.0000, 0.0000, 0.9984)
Au (0.5000, 0.5000, 0.2511)
Re (0.0000, 0.0000, 0.5253)
W (0.5000, 0.5000, 0.7252)

- DOS at the Fermi energy: 2.8 states/eV/f.u.
- ΔH_f (0 K): 0.363 eV per atom
- Total magnetic moment: 0.00 μB/f.u.
- Energy relative to the lowest polymorph listed for this composition: 64.9 meV per atom
- Symmetry: P4mm



Computed, not measured: a relaxed ScV2SbRh crystal at the PBE-GGA level of DFT.

Cell lengths 4.8939, 4.8240, 4.8939 Å; angles 90.00, 90.00, 90.00 degrees
Each line ends with the local moment (μB).
Fractional positions:
Sc (0.5000, 0.5000, 0.5000)  0.14
Sb (0.0000, 0.0000, 0.0000)  -0.06
Rh (0.0000, 0.5000, 0.0000)  0.00
V (0.0000, 0.0000, 0.5000)  2.07
V (0.5000, 0.0000, 0.0000)  1.66

- DOS at the Fermi energy: 4.7 states/eV/f.u.
- Total magnetic moment: 4.56 μB/f.u.
- Final energy: -6.35 eV per atom
- Symmetry: P4/mmm



Computed, not measured: a relaxed HoMg2Pd5 crystal at the PBE-GGA level of DFT.

Cell lengths 4.2122, 4.2122, 8.1226 Å; angles 105.03, 105.03, 90.00 degrees
Fractional positions:
Ho (0.0000, 0.0000, 0.0000)
Mg (0.7482, 0.7482, 0.4964)
Mg (0.2518, 0.2518, 0.5036)
Pd (0.5000, 0.5000, 0.0000)
Pd (0.8652, 0.3652, 0.7304)
Pd (0.3652, 0.8652, 0.7304)
Pd (0.1348, 0.6348, 0.2696)
Pd (0.6348, 0.1348, 0.2696)

- DOS at the Fermi energy: 2.4 states/eV/f.u.
- ΔH_f (0 K): -0.791 eV per atom
- Total magnetic moment: 0.00 μB/f.u.
- Symmetry: I4/mmm



Computed, not measured: a relaxed TbNd2Th crystal at the PBE-GGA level of DFT.

Cell lengths 5.1271, 5.1157, 5.1157 Å; angles 90.00, 90.00, 90.00 degrees
Fractional positions:
Nd (0.0000, 0.0000, 0.5000)
Nd (0.0000, 0.5000, 0.0000)
Tb (0.5000, 0.5000, 0.5000)
Th (0.5000, 0.0000, 0.0000)

- DOS at the Fermi energy: 4.8 states/eV/f.u.
- ΔH_f (0 K): 0.054 eV per atom
- Total magnetic moment: 0.00 μB/f.u.
- Energy relative to the lowest polymorph listed for this composition: 25.1 meV per atom
- Symmetry: P4/mmm



Computed, not measured: a relaxed SrYTc2 crystal at the PBE-GGA level of DFT.

Cell lengths 5.0203, 5.0203, 5.0203 Å; angles 60.00, 60.00, 60.00 degrees
Each line ends with the local moment (μB).
Fractional positions:
Y (0.5000, 0.5000, 0.5000)  -0.05
Sr (0.0000, 0.0000, 0.0000)  0.03
Tc (0.2500, 0.2500, 0.2500)  1.24
Tc (0.7500, 0.7500, 0.7500)  1.24

- DOS at the Fermi energy: 6.1 states/eV/f.u.
- ΔH_f (0 K): 0.840 eV per atom
- Total magnetic moment: 2.82 μB/f.u.
- Energy relative to the lowest polymorph listed for this composition: 580.6 meV per atom
- Symmetry: Fm-3m



Computed, not measured: a relaxed TmPuGaAu crystal at the PBE-GGA level of DFT.

Cell lengths 5.0885, 5.0885, 5.0885 Å; angles 60.00, 60.00, 60.00 degrees
Each line ends with the local moment (μB).
Fractional positions:
Tm (0.5000, 0.5000, 0.5000)  0.10
Au (0.2500, 0.2500, 0.2500)  0.03
Ga (0.7500, 0.7500, 0.7500)  -0.03
Pu (0.0000, 0.0000, 0.0000)  5.30

- DOS at the Fermi energy: 8.6 states/eV/f.u.
- ΔH_f (0 K): -0.483 eV per atom
- Total magnetic moment: 5.60 μB/f.u.
- Symmetry: F-43m



Computed, not measured: a relaxed BeBOs2Au crystal at the PBE-GGA level of DFT.

Cell lengths 4.1161, 3.8275, 4.1161 Å; angles 90.00, 90.00, 90.00 degrees
Fractional positions:
Os (0.0000, 0.0000, 0.5000)
Os (0.5000, 0.0000, 0.0000)
B (0.0000, 0.0000, 0.0000)
Au (0.5000, 0.5000, 0.5000)
Be (0.0000, 0.5000, 0.0000)

- DOS at the Fermi energy: 2.1 states/eV/f.u.
- ΔH_f (0 K): 0.411 eV per atom
- Total magnetic moment: 0.00 μB/f.u.
- Symmetry: P4/mmm



Computed, not measured: a relaxed TiNiAs crystal at the PBE-GGA level of DFT.

Cell lengths 3.7137, 6.2737, 10.7802 Å; angles 89.13, 90.00, 90.00 degrees
Fractional positions:
Ti (0.7500, 0.5281, 0.3849)
Ti (0.2500, 0.9686, 0.7088)
Ti (0.7500, 0.0314, 0.2912)
Ti (0.7500, 0.6593, 0.0795)
Ti (0.2500, 0.4719, 0.6151)
Ti (0.2500, 0.3407, 0.9205)
Ni (0.2500, 0.9947, 0.0865)
Ni (0.2500, 0.8521, 0.4562)
Ni (0.7500, 0.6287, 0.7972)
Ni (0.7500, 0.1479, 0.5438)
Ni (0.2500, 0.3713, 0.2028)
Ni (0.7500, 0.0053, 0.9135)
As (0.2500, 0.7559, 0.9128)
As (0.7500, 0.2653, 0.7512)
As (0.7500, 0.7641, 0.5847)
As (0.7500, 0.2441, 0.0872)
As (0.2500, 0.2359, 0.4153)
As (0.2500, 0.7347, 0.2488)

- DOS at the Fermi energy: 2.7 states/eV/f.u.
- ΔH_f (0 K): -0.761 eV per atom
- Total magnetic moment: 0.00 μB/f.u.
- Symmetry: P2_1/m



Computed, not measured: a relaxed PrDyIr2 crystal at the PBE-GGA level of DFT.

Cell lengths 4.9552, 4.9552, 4.9552 Å; angles 60.00, 60.00, 60.00 degrees
Fractional positions:
Pr (0.5000, 0.5000, 0.5000)
Ir (0.2500, 0.2500, 0.2500)
Ir (0.7500, 0.7500, 0.7500)
Dy (0.0000, 0.0000, 0.0000)

- DOS at the Fermi energy: 2.6 states/eV/f.u.
- ΔH_f (0 K): -0.626 eV per atom
- Total magnetic moment: 0.00 μB/f.u.
- Energy relative to the lowest polymorph listed for this composition: 2.6 meV per atom
- Symmetry: Fm-3m



Computed, not measured: a relaxed Na2ZnS2 crystal at the PBE-GGA level of DFT.

Cell lengths 6.9711, 6.9711, 4.0956 Å; angles 90.00, 90.00, 90.00 degrees
Fractional positions:
Na (0.1365, 0.6365, 0.5000)
Na (0.6365, 0.8635, 0.5000)
Na (0.8635, 0.3635, 0.5000)
Na (0.3635, 0.1365, 0.5000)
Zn (0.0000, 0.0000, 0.0000)
Zn (0.5000, 0.5000, 0.0000)
S (0.3188, 0.8188, 0.0000)
S (0.8188, 0.6812, 0.0000)
S (0.6812, 0.1812, 0.0000)
S (0.1812, 0.3188, 0.0000)

- DOS at the Fermi energy: 0.0 states/eV/f.u.
- Total magnetic moment: 0.00 μB/f.u.
- Final energy: -3.11 eV per atom
- Symmetry: P4/mbm



Computed, not measured: a relaxed Cs3MgBi2Se6 crystal at the PBE-GGA level of DFT.

Cell lengths 7.4052, 7.4052, 8.7537 Å; angles 98.11, 98.11, 119.98 degrees
Fractional positions:
Cs (0.1710, 0.8290, 0.5000)
Cs (0.8290, 0.1710, 0.5000)
Cs (0.5000, 0.5000, 0.5000)
Mg (0.0000, 0.0000, 0.0000)
Bi (0.3338, 0.6662, 0.0000)
Bi (0.6662, 0.3338, 0.0000)
Se (0.9386, 0.6194, 0.8154)
Se (0.7426, 0.7426, 0.1864)
Se (0.0614, 0.3806, 0.1846)
Se (0.6194, 0.9386, 0.8154)
Se (0.2574, 0.2574, 0.8136)
Se (0.3806, 0.0614, 0.1846)

- DOS at the Fermi energy: 8.0 states/eV/f.u.
- Total magnetic moment: 0.00 μB/f.u.
- Final energy: -3.55 eV per atom
- Symmetry: C2/m



Computed, not measured: a relaxed BaIr2 crystal at the PBE-GGA level of DFT.

Cell lengths 6.9729, 6.9729, 6.7170 Å; angles 74.74, 74.74, 24.93 degrees
Fractional positions:
Ba (0.4749, 0.4749, 0.2715)
Ba (0.5251, 0.5251, 0.7285)
Ir (0.1762, 0.1762, 0.9793)
Ir (0.7654, 0.7654, 0.6486)
Ir (0.2346, 0.2346, 0.3514)
Ir (0.8238, 0.8238, 0.0207)

- DOS at the Fermi energy: 3.0 states/eV/f.u.
- ΔH_f (0 K): 0.386 eV per atom
- Total magnetic moment: 0.00 μB/f.u.
- Symmetry: C2/m



Computed, not measured: a relaxed ScRu4Br crystal at the PBE-GGA level of DFT.

Cell lengths 5.2459, 5.2459, 5.2459 Å; angles 60.00, 60.00, 60.00 degrees
Each line ends with the local moment (μB).
Fractional positions:
Sc (0.7500, 0.7500, 0.7500)  -0.07
Ru (0.8743, 0.3752, 0.3752)  0.78
Ru (0.3752, 0.3752, 0.8743)  0.78
Ru (0.3752, 0.8743, 0.3752)  0.78
Ru (0.3752, 0.3752, 0.3752)  0.78
Br (0.0000, 0.0000, 0.0000)  0.11

- DOS at the Fermi energy: 9.4 states/eV/f.u.
- Total magnetic moment: 3.27 μB/f.u.
- Final energy: -7.00 eV per atom
- Symmetry: F-43m